1.
A plane-wave DFT calculation with GGA-PBE was carried out for an optimized crystal structure of Co3N2.

Output
symmetry = R-3c, No. 167
DOS at the Fermi energy = 0.92 states/eV per atom
formation energy without anion corrections = 0.251 eV per atom

a = 4.968 Å, b = 4.968 Å, c = 5.065 Å
α = 60.63°, β = 60.63°, γ = 60.00°
Atoms (fractional coordinates):
Co 0.553 0.947 0.250
Co 0.250 0.553 0.250
Co 0.947 0.250 0.250
Co 0.447 0.053 0.750
Co 0.750 0.447 0.750
Co 0.053 0.750 0.750
N 0.855 0.855 0.434
N 0.145 0.145 0.566
N 0.645 0.645 0.066
N 0.355 0.355 0.934


2.
A plane-wave DFT calculation with GGA-PBE was carried out for an optimized crystal structure of KBa2Ni.

Output
symmetry = I-42d, No. 122
DOS at the Fermi energy = 1.12 states/eV per atom
formation energy from the elements = 26.7 kJ per mole of atoms
distance to the lowest polymorph of the same formula = 238 meV/atom

a = 9.994 Å, b = 9.994 Å, c = 8.084 Å
α = 51.82°, β = 51.82°, γ = 90.00°
Atoms (fractional coordinates):
Ba 0.009 0.625 0.250
Ba 0.875 0.991 0.750
Ba 0.741 0.125 0.250
Ba 0.375 0.259 0.750
Ni 0.750 0.250 0.500
Ni 0.000 0.000 0.000
K 0.500 0.500 0.000
K 0.250 0.750 0.500


3.
A plane-wave DFT calculation with GGA-PBE was carried out for an optimized crystal structure of Ge2Te3.

Output
symmetry = R-3m, No. 166
DOS at the Fermi energy = 0.62 states/eV per atom
formation energy without anion corrections = -0.023 eV per atom

a = 4.002 Å, b = 4.002 Å, c = 10.734 Å
α = 79.26°, β = 79.26°, γ = 60.00°
Atoms (fractional coordinates):
Ge 0.394 0.394 0.818
Ge 0.606 0.606 0.182
Te 0.778 0.778 0.666
Te 0.000 0.000 0.000
Te 0.222 0.222 0.334


4.
A plane-wave DFT calculation with GGA-PBE was carried out for an optimized crystal structure of Na2Mg2H5.

Output
symmetry = C2/m, No. 12
DOS at the Fermi energy = 0.14 states/eV per atom
E = -2.57 eV/atom

a = 3.340 Å, b = 6.343 Å, c = 6.253 Å
α = 101.16°, β = 90.00°, γ = 105.26°
Atoms (fractional coordinates):
H 0.183 0.366 0.610
H 0.326 0.651 0.998
H 0.674 0.349 0.002
H 0.817 0.634 0.390
H 0.000 0.000 0.000
Na 0.372 0.744 0.636
Na 0.628 0.256 0.364
Mg 0.132 0.265 0.868
Mg 0.868 0.735 0.132


5.
A plane-wave DFT calculation with GGA-PBE was carried out for an optimized crystal structure of Sm5Ho2Tl.

Output
symmetry = P-1, No. 2
DOS at the Fermi energy = 1.36 states/eV per atom
formation energy from the elements = -0.4 kJ per mole of atoms
distance to the lowest polymorph of the same formula = 44 meV/atom

a = 3.470 Å, b = 11.262 Å, c = 8.775 Å
α = 129.93°, β = 101.39°, γ = 90.11°
Atoms (fractional coordinates):
Ho 0.270 0.769 0.538
Ho 0.730 0.231 0.462
Sm 0.369 0.602 0.737
Sm 0.000 0.500 0.000
Sm 0.632 0.865 0.263
Sm 0.368 0.135 0.737
Sm 0.631 0.398 0.263
Tl 0.000 0.000 0.000


6.
A plane-wave DFT calculation with GGA-PBE was carried out for an optimized crystal structure of Hf4Zn.

Output
symmetry = I4/mmm, No. 139
DOS at the Fermi energy = 1.23 states/eV per atom
formation energy from the elements = -6.5 kJ per mole of atoms
distance to the lowest polymorph of the same formula = 0 meV/atom

a = 3.215 Å, b = 3.215 Å, c = 10.354 Å
α = 98.93°, β = 98.93°, γ = 90.00°
Atoms (fractional coordinates):
Hf 0.411 0.411 0.822
Hf 0.194 0.194 0.388
Hf 0.806 0.806 0.612
Hf 0.589 0.589 0.178
Zn 0.000 0.000 0.000


7.
A plane-wave DFT calculation with GGA-PBE was carried out for an optimized crystal structure of Y4SiTeS2.

Output
symmetry = P2/m, No. 10
DOS at the Fermi energy = 0.34 states/eV per atom
formation energy without anion corrections = -1.544 eV per atom

a = 4.076 Å, b = 7.028 Å, c = 7.210 Å
α = 70.69°, β = 90.00°, γ = 90.00°
Atoms (fractional coordinates):
Si 0.000 0.500 0.500
Y 0.000 0.769 0.720
Y 0.000 0.231 0.280
Y 0.500 0.246 0.734
Y 0.500 0.754 0.266
S 0.000 0.000 0.000
S 0.500 0.000 0.500
Te 0.500 0.500 0.000


8.
A plane-wave DFT calculation with GGA-PBE was carried out for an optimized crystal structure of Zn12CuIr2.

Output
symmetry = P4/nbm, No. 125
DOS at the Fermi energy = 0.39 states/eV per atom
formation energy from the elements = 13.7 kJ per mole of atoms

a = 4.854 Å, b = 4.854 Å, c = 19.732 Å
α = 90.00°, β = 90.00°, γ = 90.00°
Atoms (fractional coordinates):
Zn 0.679 0.821 0.568
Zn 0.179 0.679 0.568
Zn 0.187 0.313 0.894
Zn 0.000 0.000 0.329
Zn 0.500 0.500 0.794
Zn 0.000 0.000 0.206
Zn 0.679 0.179 0.432
Zn 0.813 0.313 0.106
Zn 0.821 0.321 0.568
Zn 0.687 0.813 0.106
Zn 0.813 0.687 0.894
Zn 0.687 0.187 0.894
Zn 0.000 0.000 0.794
Zn 0.187 0.687 0.106
Zn 0.321 0.821 0.432
Zn 0.321 0.179 0.568
Zn 0.500 0.500 0.671
Zn 0.821 0.679 0.432
Zn 0.000 0.000 0.671
Zn 0.500 0.500 0.206
Zn 0.313 0.187 0.106
Zn 0.500 0.500 0.329
Zn 0.179 0.321 0.432
Zn 0.313 0.813 0.894
Ir 0.500 0.000 0.735
Ir 0.000 0.500 0.735
Ir 0.500 0.000 0.265
Ir 0.000 0.500 0.265
Cu 0.500 0.000 0.000
Cu 0.000 0.500 0.000


9.
A plane-wave DFT calculation with GGA-PBE was carried out for an optimized crystal structure of SiBrCl2.

Output
symmetry = Cmmm, No. 65
DOS at the Fermi energy = 0.24 states/eV per atom
formation energy without anion corrections = -0.539 eV per atom
distance to the lowest polymorph of the same formula = 63 meV/atom

a = 3.541 Å, b = 7.067 Å, c = 7.064 Å
α = 41.53°, β = 90.00°, γ = 90.00°
Atoms (fractional coordinates):
Br 0.500 0.750 0.750
Si 0.500 0.250 0.250
Cl 0.000 0.375 0.375
Cl 0.000 0.125 0.125


10.
A plane-wave DFT calculation with GGA-PBE was carried out for an optimized crystal structure of Be2GaIr2.

Output
symmetry = P4/mbm, No. 127
DOS at the Fermi energy = 0.39 states/eV per atom
formation energy from the elements = -39.0 kJ per mole of atoms
distance to the lowest polymorph of the same formula = 46 meV/atom

a = 6.564 Å, b = 6.564 Å, c = 2.903 Å
α = 90.00°, β = 90.00°, γ = 90.00°
Atoms (fractional coordinates):
Be 0.136 0.636 0.500
Be 0.636 0.864 0.500
Be 0.364 0.136 0.500
Be 0.864 0.364 0.500
Ga 0.000 0.000 0.000
Ga 0.500 0.500 0.000
Ir 0.844 0.656 0.000
Ir 0.344 0.844 0.000
Ir 0.156 0.344 0.000
Ir 0.656 0.156 0.000


11.
A plane-wave DFT calculation with GGA-PBE was carried out for an optimized crystal structure of LiY2Mo.

Output
symmetry = Fm-3m, No. 225
DOS at the Fermi energy = 1.27 states/eV per atom
formation energy from the elements = 27.5 kJ per mole of atoms
distance to the lowest polymorph of the same formula = 55 meV/atom

a = 5.040 Å, b = 5.040 Å, c = 5.040 Å
α = 60.00°, β = 60.00°, γ = 60.00°
Last column: magnetic moment on the atom in μB.
Atoms (fractional coordinates):
Y 0.750 0.750 0.750  0.02
Y 0.250 0.250 0.250  0.02
Mo 0.500 0.500 0.500  0.90
Li 0.000 0.000 0.000  -0.01


12.
A plane-wave DFT calculation with GGA-PBE was carried out for an optimized crystal structure of K2TlOs.

Output
symmetry = P4/mmm, No. 123
DOS at the Fermi energy = 0.30 states/eV per atom
formation energy from the elements = 101.9 kJ per mole of atoms
distance to the lowest polymorph of the same formula = 353 meV/atom

a = 4.255 Å, b = 4.255 Å, c = 5.608 Å
α = 90.00°, β = 90.00°, γ = 90.00°
Last column: magnetic moment on the atom in μB.
Atoms (fractional coordinates):
K 0.500 0.500 0.000  -0.01
K 0.000 0.000 0.000  -0.01
Os 0.500 0.000 0.500  0.84
Tl 0.000 0.500 0.500  -0.03